a.
Density functional theory data (SCAN) for TcNi2Ru at its PBEsol-relaxed geometry.

Cell lengths 3.9727, 4.9102, 4.9102 Å; angles 30.01, 90.00, 90.00 degrees
Last column: nearest neighbours and their distance in Å.
Fractional coordinates of all 4 atoms:
Tc  0.0000  0.0000  0.0000  7 Ni 2.47-2.61, 2 Tc 2.54, 4 Ru 2.75
Ni  0.0000  0.2599  0.2599  4 Ni 2.33-2.54, 3 Tc 2.47-2.61, 4 Ru 2.58
Ni  0.5000  0.3891  0.3891  4 Ni 2.33-2.54, 3 Ru 2.47-2.61, 4 Tc 2.58
Ru  0.5000  0.6494  0.6494  7 Ni 2.47-2.61, 2 Ru 2.54, 4 Tc 2.75



b.
Density functional theory data (SCAN) for TcNi2Ru at its PBEsol-relaxed geometry.

Cell lengths 4.4625, 4.4625, 4.4625 Å; angles 132.06, 132.06, 70.13 degrees
Last column: nearest neighbours and their distance in Å.
Fractional coordinates of all 4 atoms:
Tc  0.0000  0.0000  0.0000  8 Ni 2.56-2.57, 4 Ru 2.57
Ni  0.5000  0.5000  0.0000  4 Tc 2.56, 4 Ni 2.57, 4 Ru 2.57
Ni  0.7500  0.2500  0.5000  4 Ru 2.56, 4 Ni 2.57, 4 Tc 2.57
Ru  0.2500  0.7500  0.5000  8 Ni 2.56-2.57, 4 Tc 2.57



Of them, the most stable is b and the least stable is a.